No. 1
{"formula": "FeOs2Rh", "functional": "PBEsol", "state": "optimized geometry", "sg": "Fm-3m, No. 225", "e_form_ev_per_fu": 2.1, "polymorph_energy_ev_per_atom": 0.165, "density_g_cm3": 16.705, "lattice": [[4.2321, 0.0000, 0.0000], [2.1160, 3.6651, 0.0000], [2.1160, 1.2217, 3.4555]], "species": ["Fe", "Rh", "Os", "Os"], "frac_coords": [[0.0000, 0.0000, 0.0000], [0.5000, 0.5000, 0.5000], [0.2500, 0.2500, 0.2500], [0.7500, 0.7500, 0.7500]]}

No. 2
{"formula": "HfRuN2", "functional": "PBEsol", "state": "optimized geometry", "sg": "R-3m, No. 166", "e_form_raw_ev_per_atom": -0.50, "density_g_cm3": 9.691, "lattice": [[-3.0843, 0.4176, -0.6637], [-2.0343, -2.4296, 0.2947], [-2.7266, 0.8769, 5.5923]], "species": ["N", "N", "Ru", "Hf"], "frac_coords": [[0.8946, 0.8946, 0.3162], [0.1054, 0.1054, 0.6838], [0.0000, 0.0000, 0.0000], [0.5000, 0.5000, 0.5000]]}

No. 3
{"formula": "Na2HOsCl", "functional": "PBEsol", "state": "optimized geometry", "sg": "P4/mmm, No. 123", "final_energy_ev_per_cell": -17.94, "density_g_cm3": 4.322, "lattice": [[3.3130, 0.0000, 0.0000], [0.0000, 5.6235, 0.0000], [0.0000, 0.0000, 5.6235]], "species": ["Na", "Na", "Cl", "H", "Os"], "frac_coords": [[0.0000, 0.5000, 0.0000], [0.0000, 0.0000, 0.5000], [0.5000, 0.5000, 0.5000], [0.5000, 0.0000, 0.0000], [0.0000, 0.0000, 0.0000]]}

No. 4
{"formula": "CaZnWAu2", "functional": "PBEsol", "state": "optimized geometry", "sg": "P4/mmm, No. 123", "e_form_ev_per_fu": 9.2, "density_g_cm3": 9.266, "lattice": [[4.8774, 0.0000, 0.0000], [0.0000, 5.0104, 0.0000], [0.0000, 0.0000, 5.0104]], "species": ["Au", "Au", "Zn", "Ca", "W"], "frac_coords": [[0.0000, 0.5000, 0.0000], [0.0000, 0.0000, 0.5000], [0.5000, 0.0000, 0.0000], [0.0000, 0.0000, 0.0000], [0.5000, 0.5000, 0.5000]]}

No. 5
{"formula": "Sc2AgRu", "functional": "PBEsol", "state": "optimized geometry", "sg": "P4/mmm, No. 123", "e_form_ev_per_fu": -2.0, "density_g_cm3": 7.064, "lattice": [[-2.2743, 1.4732, -1.7195], [-2.2239, -0.9951, 2.0889], [0.9048, 5.6785, 3.6685]], "species": ["Ru", "Sc", "Sc", "Ag"], "frac_coords": [[0.5000, 0.5000, 0.5000], [0.0000, 0.0000, 0.2762], [0.0000, 0.0000, 0.7238], [0.5000, 0.5000, 0.0000]]}

No. 6
{"formula": "CrPW2C", "functional": "PBEsol", "state": "optimized geometry", "sg": "P4/mmm, No. 123", "e_form_ev_per_fu": 1.7, "density_g_cm3": 12.160, "lattice": [[3.7560, 0.0000, 0.0000], [0.0000, 4.1013, 0.0000], [0.0000, 0.0000, 4.1013]], "species": ["W", "W", "P", "Cr", "C"], "frac_coords": [[0.0000, 0.0000, 0.5000], [0.0000, 0.5000, 0.0000], [0.5000, 0.5000, 0.5000], [0.5000, 0.0000, 0.0000], [0.0000, 0.0000, 0.0000]]}

No. 7
{"formula": "LiRh3", "functional": "PBEsol", "state": "optimized geometry", "sg": "C2/m, No. 12", "e_form_ev_per_fu": -0.2, "density_g_cm3": 10.019, "lattice": [[2.6558, 0.0000, 0.0000], [0.0000, 4.5386, 0.0095], [-1.3279, -0.6603, 4.3391]], "species": ["Rh", "Rh", "Rh", "Li"], "frac_coords": [[0.5000, 0.5000, 0.0000], [0.2428, 0.7487, 0.4857], [0.7572, 0.2513, 0.5143], [0.0000, 0.0000, 0.0000]]}

No. 8
{"formula": "Na2Si2O5", "functional": "PBEsol", "state": "optimized geometry", "sg": "I4_1/a, No. 88", "e_form_raw_ev_per_atom": -2.46, "density_g_cm3": 2.277, "lattice": [[6.9974, 0.0000, 0.0000], [3.4987, 8.7141, 0.0000], [3.4987, 0.0000, 8.7141]], "species": ["Si", "Si", "Si", "Si", "Si", "Si", "Si", "Si", "Na", "Na", "Na", "Na", "Na", "Na", "Na", "Na", "O", "O", "O", "O", "O", "O", "O", "O", "O", "O", "O", "O", "O", "O", "O", "O", "O", "O", "O", "O"], "frac_coords": [[0.3636, 0.8324, 0.5885], [0.9656, 0.3324, 0.0885], [0.9459, 0.0885, 0.6676], [0.3864, 0.6676, 0.9115], [0.7021, 0.9115, 0.3324], [0.8041, 0.4115, 0.8324], [0.0479, 0.5885, 0.1676], [0.7844, 0.1676, 0.4115], [0.8097, 0.7534, 0.9254], [0.9403, 0.7466, 0.5746], [0.3131, 0.4254, 0.7466], [0.2649, 0.9254, 0.2466], [0.2615, 0.2534, 0.4254], [0.4885, 0.2466, 0.0746], [0.4851, 0.5746, 0.2534], [0.4369, 0.0746, 0.7534], [0.8835, 0.5107, 0.1486], [0.8750, 0.7500, 0.2500], [0.9680, 0.1486, 0.4893], [0.5339, 0.2415, 0.5196], [0.8750, 0.2500, 0.7500], [0.2949, 0.7585, 0.4804], [0.5253, 0.0196, 0.2585], [0.8035, 0.9804, 0.7415], [0.6058, 0.8514, 0.5107], [0.1442, 0.6486, 0.9893], [0.7820, 0.3514, 0.0107], [0.2073, 0.0107, 0.6486], [0.2247, 0.4804, 0.2415], [0.9465, 0.5196, 0.7585], [0.8750, 0.2500, 0.2500], [0.4551, 0.7415, 0.0196], [0.2161, 0.2585, 0.9804], [0.3750, 0.7500, 0.7500], [0.8665, 0.9893, 0.3514], [0.5427, 0.4893, 0.8514]]}

No. 9
{"formula": "CaMnRh2N", "functional": "PBEsol", "state": "optimized geometry", "sg": "P4/mmm, No. 123", "e_form_raw_ev_per_atom": 1.53, "density_g_cm3": 5.296, "lattice": [[-1.1150, 2.3381, -3.3514], [-0.9043, -3.5290, -2.1611], [-5.1763, 0.1904, 1.8551]], "species": ["N", "Mn", "Rh", "Rh", "Ca"], "frac_coords": [[0.5000, 0.5000, 0.5000], [0.0000, 0.0000, 0.0000], [0.5000, 0.0000, 0.0000], [0.0000, 0.5000, 0.0000], [0.0000, 0.0000, 0.5000]]}

No. 10
{"formula": "Li6FeO4F2", "functional": "PBEsol", "state": "optimized geometry", "sg": "P-1, No. 2", "e_form_raw_ev_per_atom": -2.04, "density_g_cm3": 2.725, "lattice": [[5.3854, -0.0090, -0.0386], [2.4696, 4.7900, -0.0127], [2.4316, 1.6720, 4.6924]], "species": ["Li", "Li", "Li", "Li", "Li", "Li", "F", "F", "Fe", "O", "O", "O", "O"], "frac_coords": [[0.4926, 0.0873, 0.7469], [0.7210, 0.4932, 0.0692], [0.9162, 0.3018, 0.5216], [0.2790, 0.5068, 0.9308], [0.5074, 0.9127, 0.2531], [0.0838, 0.6982, 0.4784], [0.2266, 0.8818, 0.6033], [0.7734, 0.1182, 0.3967], [0.0000, 0.0000, 0.0000], [0.0983, 0.3401, 0.7949], [0.9017, 0.6599, 0.2051], [0.3463, 0.7927, 0.0830], [0.6537, 0.2073, 0.9170]]}

No. 11
{"formula": "ZrAgSeCl2", "functional": "PBEsol", "state": "optimized geometry", "sg": "P4/mmm, No. 123", "e_form_raw_ev_per_atom": 0.15, "density_g_cm3": 4.741, "lattice": [[4.5343, 0.0000, 0.0000], [0.0000, 4.5343, 0.0000], [0.0000, 0.0000, 5.9444]], "species": ["Ag", "Zr", "Se", "Cl", "Cl"], "frac_coords": [[0.0000, 0.0000, 0.0000], [0.0000, 0.0000, 0.5000], [0.5000, 0.5000, 0.5000], [0.5000, 0.0000, 0.0000], [0.0000, 0.5000, 0.0000]]}

No. 12
{"formula": "Zn3NiTe", "functional": "PBEsol", "state": "optimized geometry", "sg": "Pm-3m, No. 221", "e_form_raw_ev_per_atom": 0.26, "density_g_cm3": 6.751, "lattice": [[4.5482, 0.0000, 0.0000], [0.0000, 4.5482, 0.0000], [0.0000, 0.0000, 4.5482]], "species": ["Zn", "Zn", "Zn", "Ni", "Te"], "frac_coords": [[0.0000, 0.5000, 0.0000], [0.5000, 0.0000, 0.0000], [0.0000, 0.0000, 0.5000], [0.0000, 0.0000, 0.0000], [0.5000, 0.5000, 0.5000]]}

Repeat the eleventh record exactly.
{"formula": "ZrAgSeCl2", "functional": "PBEsol", "state": "optimized geometry", "sg": "P4/mmm, No. 123", "e_form_raw_ev_per_atom": 0.15, "density_g_cm3": 4.741, "lattice": [[4.5343, 0.0000, 0.0000], [0.0000, 4.5343, 0.0000], [0.0000, 0.0000, 5.9444]], "species": ["Ag", "Zr", "Se", "Cl", "Cl"], "frac_coords": [[0.0000, 0.0000, 0.0000], [0.0000, 0.0000, 0.5000], [0.5000, 0.5000, 0.5000], [0.5000, 0.0000, 0.0000], [0.0000, 0.5000, 0.0000]]}

Repeat the eleventh record exactly.
{"formula": "ZrAgSeCl2", "functional": "PBEsol", "state": "optimized geometry", "sg": "P4/mmm, No. 123", "e_form_raw_ev_per_atom": 0.15, "density_g_cm3": 4.741, "lattice": [[4.5343, 0.0000, 0.0000], [0.0000, 4.5343, 0.0000], [0.0000, 0.0000, 5.9444]], "species": ["Ag", "Zr", "Se", "Cl", "Cl"], "frac_coords": [[0.0000, 0.0000, 0.0000], [0.0000, 0.0000, 0.5000], [0.5000, 0.5000, 0.5000], [0.5000, 0.0000, 0.0000], [0.0000, 0.5000, 0.0000]]}

Repeat the second record exactly.
{"formula": "HfRuN2", "functional": "PBEsol", "state": "optimized geometry", "sg": "R-3m, No. 166", "e_form_raw_ev_per_atom": -0.50, "density_g_cm3": 9.691, "lattice": [[-3.0843, 0.4176, -0.6637], [-2.0343, -2.4296, 0.2947], [-2.7266, 0.8769, 5.5923]], "species": ["N", "N", "Ru", "Hf"], "frac_coords": [[0.8946, 0.8946, 0.3162], [0.1054, 0.1054, 0.6838], [0.0000, 0.0000, 0.0000], [0.5000, 0.5000, 0.5000]]}

Question: Number 6 is which compound?
Answer: CrPW2C